The following is a DFT calculation (PBE) of SrCe2Pt after structural relaxation.

```
data_SrCe2Pt
_cell_length_a 4.0200
_cell_length_b 4.0200
_cell_length_c 32.6347
_cell_angle_alpha 90.00
_cell_angle_beta 90.00
_cell_angle_gamma 120.00
_space_group_name_H-M_alt 'R -3 m'
_space_group_IT_number 166
_space_group_name_Hall '-R 3 2"'
loop_
_atom_site_label
_atom_site_fract_x
_atom_site_fract_y
_atom_site_fract_z
_atom_site_occupancy
Sr1 0.0000 0.0000 0.0000 1
Ce1 0.0000 0.0000 0.1156 1
Pt1 0.0000 0.0000 0.5000 1
```

Values from the calculation:
Electronic total energy = -61.84 eV per cell
Energy of formation = -256 meV/atom

=====

The following is a DFT calculation (PBE) of Pu2SbTe after structural relaxation.

```
data_Pu2SbTe
_cell_length_a 7.554
_cell_length_b 7.554
_cell_length_c 7.554
_cell_angle_alpha 90.00
_cell_angle_beta 90.00
_cell_angle_gamma 90.00
_space_group_name_H-M_alt 'F m -3 m'
_space_group_IT_number 225
_space_group_name_Hall '-F 4 2 3'
loop_
_atom_site_label
_atom_site_fract_x
_atom_site_fract_y
_atom_site_fract_z
_atom_site_occupancy
Pu1 0.250 0.250 0.250 1
Sb1 0.000 0.000 0.000 1
Te1 0.000 0.000 0.500 1
```

Values from the calculation:
Electronic total energy = -155.95 eV per cell
Uncorrected formation energy = -0.765 eV per atom
Energy above the lowest structure with this stoichiometry = 2.44 kcal/mol of atoms

=====

The following is a DFT calculation (PBE) of Zn2CdSe after structural relaxation.

```
data_Zn2CdSe
_cell_length_a 6.913
_cell_length_b 6.913
_cell_length_c 6.913
_cell_angle_alpha 90.00
_cell_angle_beta 90.00
_cell_angle_gamma 90.00
_space_group_name_H-M_alt 'F -4 3 m'
_space_group_IT_number 216
_space_group_name_Hall 'F -4 2 3'
loop_
_atom_site_label
_atom_site_fract_x
_atom_site_fract_y
_atom_site_fract_z
_atom_site_occupancy
Zn1 0.000 0.000 0.000 1
Zn2 0.250 0.250 0.250 1
Cd1 0.250 0.250 0.750 1
Se1 0.000 0.000 0.500 1
```

Values from the calculation:
Electronic total energy = -25.35 eV per cell
Uncorrected formation energy = 0.152 eV per atom
Energy above the lowest structure with this stoichiometry = 5.77 kcal/mol of atoms

=====

The following is a DFT calculation (PBE) of VZn2Rh3 after structural relaxation.

```
data_VZn2Rh3
_cell_length_a 3.029
_cell_length_b 3.029
_cell_length_c 9.039
_cell_angle_alpha 90.00
_cell_angle_beta 90.00
_cell_angle_gamma 90.00
_space_group_name_H-M_alt 'P 4/m m m'
_space_group_IT_number 123
_space_group_name_Hall '-P 4 2'
loop_
_atom_site_label
_atom_site_fract_x
_atom_site_fract_y
_atom_site_fract_z
_atom_site_occupancy
V1 0.000 0.000 0.000 1
Zn1 0.000 0.000 0.337 1
Rh1 0.500 0.500 0.161 1
Rh2 0.500 0.500 0.500 1
```

Values from the calculation:
Electronic total energy = -36.32 eV per cell
Energy of formation = -434 meV/atom

=====

The following is a DFT calculation (PBE) of CoIr2OsRu4 after structural relaxation.

```
data_CoIr2OsRu4
_cell_length_a 6.023
_cell_length_b 3.565
_cell_length_c 6.307
_cell_angle_alpha 90.00
_cell_angle_beta 109.22
_cell_angle_gamma 90.00
_space_group_name_H-M_alt 'P 1 2/m 1'
_space_group_IT_number 10
_space_group_name_Hall '-P 2y'
loop_
_atom_site_label
_atom_site_fract_x
_atom_site_fract_y
_atom_site_fract_z
_atom_site_occupancy
Co1 0.000 0.000 0.000 1
Ir1 0.500 0.000 0.500 1
Ir2 0.500 0.500 0.000 1
Os1 0.000 0.500 0.500 1
Ru1 0.239 0.000 0.749 1
Ru2 0.240 0.500 0.247 1
```

Values from the calculation:
Electronic total energy = -64.25 eV per cell
Energy of formation = 1114 meV/atom

=====

The following is a DFT calculation (PBE) of AcSm4Te5 after structural relaxation.

```
data_AcSm4Te5
_cell_length_a 4.509
_cell_length_b 4.509
_cell_length_c 31.899
_cell_angle_alpha 90.00
_cell_angle_beta 90.00
_cell_angle_gamma 90.00
_space_group_name_H-M_alt 'I 4/m m m'
_space_group_IT_number 139
_space_group_name_Hall '-I 4 2'
loop_
_atom_site_label
_atom_site_fract_x
_atom_site_fract_y
_atom_site_fract_z
_atom_site_occupancy
Ac1 0.000 0.000 0.000 1
Sm1 0.000 0.000 0.205 1
Sm2 0.000 0.000 0.401 1
Te1 0.000 0.000 0.105 1
Te2 0.000 0.000 0.302 1
Te3 0.000 0.000 0.500 1
```

Values from the calculation:
Electronic total energy = -104.96 eV per cell
Uncorrected formation energy = -1.379 eV per atom
Energy above the lowest structure with this stoichiometry = 0.45 kcal/mol of atoms

=====

The following is a DFT calculation (PBE) of Cs2SrGaO4 after structural relaxation.

```
data_Cs2SrGaO4
_cell_length_a 5.921
_cell_length_b 13.096
_cell_length_c 24.835
_cell_angle_alpha 90.00
_cell_angle_beta 90.00
_cell_angle_gamma 90.00
_space_group_name_H-M_alt 'F d d d'
_space_group_IT_number 70
loop_
_space_group_symop_operation_xyz
'x,y,z'
'-x,-y,-z'
'-x+1/4,-y+1/4,z'
'x+1/4,y+1/4,-z'
'x,-y+1/4,-z+1/4'
'-x,y+1/4,z+1/4'
'-x+1/4,y,-z+1/4'
'x+1/4,-y,z+1/4'
'x,y+1/2,z+1/2'
'-x,-y+1/2,-z+1/2'
'-x+1/4,-y+3/4,z+1/2'
'x+1/4,y+3/4,-z+1/2'
'x,-y+3/4,-z+3/4'
'-x,y+3/4,z+3/4'
'-x+1/4,y+1/2,-z+3/4'
'x+1/4,-y+1/2,z+3/4'
'x+1/2,y,z+1/2'
'-x+1/2,-y,-z+1/2'
'-x+3/4,-y+1/4,z+1/2'
'x+3/4,y+1/4,-z+1/2'
'x+1/2,-y+1/4,-z+3/4'
'-x+1/2,y+1/4,z+3/4'
'-x+3/4,y,-z+3/4'
'x+3/4,-y,z+3/4'
'x+1/2,y+1/2,z'
'-x+1/2,-y+1/2,-z'
'-x+3/4,-y+3/4,z'
'x+3/4,y+3/4,-z'
'x+1/2,-y+3/4,-z+1/4'
'-x+1/2,y+3/4,z+1/4'
'-x+3/4,y+1/2,-z+1/4'
'x+3/4,-y+1/2,z+1/4'
loop_
_atom_site_label
_atom_site_fract_x
_atom_site_fract_y
_atom_site_fract_z
_atom_site_occupancy
Cs1 0.125 0.125 0.316 1
Sr1 0.125 0.125 0.125 1
Ga1 0.125 0.125 0.625 1
O1 0.066 0.281 0.840 1
```

Values from the calculation:
Electronic total energy = -304.33 eV per cell
Uncorrected formation energy = -1.474 eV per atom

=====

The following is a DFT calculation (PBE) of CsMgPC after structural relaxation.

```
data_CsMgPC
_cell_length_a 3.9153
_cell_length_b 3.9153
_cell_length_c 21.6563
_cell_angle_alpha 90.00
_cell_angle_beta 90.00
_cell_angle_gamma 120.00
_space_group_name_H-M_alt 'R 3 m'
_space_group_IT_number 160
_space_group_name_Hall 'R 3 -2"'
loop_
_atom_site_label
_atom_site_fract_x
_atom_site_fract_y
_atom_site_fract_z
_atom_site_occupancy
Cs1 0.0000 0.0000 0.0000 1
Mg1 0.0000 0.0000 0.8050 1
P1 0.0000 0.0000 0.5366 1
C1 0.0000 0.0000 0.4556 1
```

Values from the calculation:
Electronic total energy = -48.07 eV per cell
Energy of formation = 265 meV/atom
Energy above the lowest structure with this stoichiometry = 0.21 kcal/mol of atoms

=====

The following is a DFT calculation (PBE) of KOsPt2 after structural relaxation.

```
data_KOsPt2
_cell_length_a 6.112
_cell_length_b 8.199
_cell_length_c 2.732
_cell_angle_alpha 90.00
_cell_angle_beta 90.00
_cell_angle_gamma 90.00
_space_group_name_H-M_alt 'C m m m'
_space_group_IT_number 65
_space_group_name_Hall '-C 2 2'
loop_
_atom_site_label
_atom_site_fract_x
_atom_site_fract_y
_atom_site_fract_z
_atom_site_occupancy
K1 0.000 0.000 0.000 1
Os1 0.000 0.500 0.000 1
Pt1 0.250 0.250 0.500 1
```

Values from the calculation:
Electronic total energy = -43.97 eV per cell
Energy of formation = 606 meV/atom
Energy above the lowest structure with this stoichiometry = 7.87 kcal/mol of atoms

=====

The following is a DFT calculation (PBE) of Pm12Sm7Th after structural relaxation.

```
data_Pm12Sm7Th
_cell_length_a 11.542
_cell_length_b 11.542
_cell_length_c 11.542
_cell_angle_alpha 90.00
_cell_angle_beta 90.00
_cell_angle_gamma 90.00
_space_group_name_H-M_alt 'I m -3 m'
_space_group_IT_number 229
_space_group_name_Hall '-I 4 2 3'
loop_
_atom_site_label
_atom_site_fract_x
_atom_site_fract_y
_atom_site_fract_z
_atom_site_occupancy
Pm1 0.000 0.243 0.243 1
Sm1 0.000 0.000 0.500 1
Sm2 0.250 0.250 0.250 1
Th1 0.000 0.000 0.000 1
```

Values from the calculation:
Electronic total energy = -168.58 eV per cell
Energy of formation = 659 meV/atom
Energy above the lowest structure with this stoichiometry = 13.11 kcal/mol of atoms

=====

The following is a DFT calculation (PBE) of Ag3Pd8Au2 after structural relaxation.

```
data_Ag3Pd8Au2
_cell_length_a 9.164
_cell_length_b 2.788
_cell_length_c 9.455
_cell_angle_alpha 90.00
_cell_angle_beta 110.57
_cell_angle_gamma 90.00
_space_group_name_H-M_alt 'P 1 2/m 1'
_space_group_IT_number 10
_space_group_name_Hall '-P 2y'
loop_
_atom_site_label
_atom_site_fract_x
_atom_site_fract_y
_atom_site_fract_z
_atom_site_occupancy
Ag1 0.000 0.000 0.000 1
Ag2 0.288 0.500 0.047 1
Pd1 0.122 0.000 0.765 1
Pd2 0.144 0.500 0.271 1
Pd3 0.397 0.500 0.809 1
Pd4 0.425 0.000 0.338 1
Au1 0.247 0.000 0.538 1
```

Values from the calculation:
Electronic total energy = -55.51 eV per cell
Energy of formation = 88 meV/atom

=====

The following is a DFT calculation (PBE) of Hf2Sc2In7 after structural relaxation.

```
data_Hf2Sc2In7
_cell_length_a 8.136
_cell_length_b 10.150
_cell_length_c 7.192
_cell_angle_alpha 90.00
_cell_angle_beta 90.00
_cell_angle_gamma 90.00
_space_group_name_H-M_alt 'C m m m'
_space_group_IT_number 65
_space_group_name_Hall '-C 2 2'
loop_
_atom_site_label
_atom_site_fract_x
_atom_site_fract_y
_atom_site_fract_z
_atom_site_occupancy
Hf1 0.000 0.202 0.000 1
Sc1 0.180 0.500 0.500 1
In1 0.000 0.000 0.295 1
In2 0.000 0.500 0.000 1
In3 0.250 0.250 0.289 1
```

Values from the calculation:
Electronic total energy = -98.43 eV per cell
Energy of formation = 229 meV/atom